Compound: MnAl2Co
Source: Alexandria
Functional: GGA-PBE
Structure: relaxed

Results
volume = 13.138 A^3/atom
E_tot = -24.65 eV per cell

a = 3.0020 Å, b = 3.0004 Å, c = 5.8343 Å
α = 90.00°, β = 90.00°, γ = 90.00°
Closest atoms and distances in Å follow each position.
Fractional coordinates of all 4 atoms:
Al1 0.0000 0.0000 0.9780  4 Mn 2.54, 4 Al 2.77, 1 Co 2.80
Al2 0.5000 0.5000 0.2836  4 Co 2.47, 1 Mn 2.66
Co1 0.0000 0.0000 0.4987  4 Al 2.47, 4 Mn 2.55
Mn1 0.5000 0.5000 0.7398  5 Al 2.54-2.66, 4 Co 2.55